## NdEuMgZn (PBE)

Data for a relaxed NdEuMgZn crystal.

abc: 7.6473 7.6473 7.6473
angles: 90.00 90.00 90.00
With the nearest neighbours (Å) after each atom.
Positions (direct):
Nd1 0.0000 0.0000 0.0000  4 Zn 3.31, 4 Mg 3.31
Nd2 0.0000 0.5000 0.5000  4 Zn 3.31, 4 Mg 3.31
Nd3 0.5000 0.0000 0.5000  4 Zn 3.31, 4 Mg 3.31
Nd4 0.5000 0.5000 0.0000  4 Zn 3.31, 4 Mg 3.31
Eu1 0.0000 0.0000 0.5000  4 Mg 3.31, 4 Zn 3.31
Eu2 0.0000 0.5000 0.0000  4 Mg 3.31, 4 Zn 3.31
Eu3 0.5000 0.0000 0.0000  4 Mg 3.31, 4 Zn 3.31
Eu4 0.5000 0.5000 0.5000  4 Mg 3.31, 4 Zn 3.31
Mg1 0.2500 0.2500 0.7500  4 Nd 3.31, 4 Eu 3.31
Mg2 0.2500 0.7500 0.2500  4 Nd 3.31, 4 Eu 3.31
Mg3 0.7500 0.2500 0.2500  4 Nd 3.31, 4 Eu 3.31
Mg4 0.7500 0.7500 0.7500  4 Nd 3.31, 4 Eu 3.31
Zn1 0.2500 0.2500 0.2500  4 Eu 3.31, 4 Nd 3.31
Zn2 0.2500 0.7500 0.7500  4 Nd 3.31, 4 Eu 3.31
Zn3 0.7500 0.2500 0.7500  4 Nd 3.31, 4 Eu 3.31
Zn4 0.7500 0.7500 0.2500  4 Nd 3.31, 4 Eu 3.31

As for the formation energy from the elements: -13.88 kJ per mole of atoms. For the calculated total energy, the calculation gives -73.94 eV per cell. For the magnetization, the calculation gives 28.83 Bohr magnetons per cell.